Entry 1:
DFT (PBE) results for a geometry-optimized RuPt2Br structure.

Values from the calculation:
V = 16.77 Å³/atom
crystal system = cubic
E_form (uncorrected) = 0.88 eV per atom
DOS(E_F) = 1.206 states/eV per atom

Geometry as POSCAR:
```
RuPt2Br
1.0
6.450 0.000 0.000
0.000 6.450 0.000
0.000 0.000 6.450
Ru Pt Br
4 8 4
direct
0.000 0.000 0.000 Ru
0.000 0.500 0.500 Ru
0.500 0.000 0.500 Ru
0.500 0.500 0.000 Ru
0.250 0.250 0.250 Pt
0.250 0.250 0.750 Pt
0.250 0.750 0.250 Pt
0.250 0.750 0.750 Pt
0.750 0.250 0.250 Pt
0.750 0.250 0.750 Pt
0.750 0.750 0.250 Pt
0.750 0.750 0.750 Pt
0.000 0.000 0.500 Br
0.000 0.500 0.000 Br
0.500 0.000 0.000 Br
0.500 0.500 0.500 Br
```


Entry 2:
DFT (PBE) results for a geometry-optimized RuPt2Br structure.

Values from the calculation:
V = 16.94 Å³/atom
crystal system = orthorhombic
E_form (uncorrected) = 0.60 eV per atom
DOS(E_F) = 1.396 states/eV per atom

Geometry as POSCAR:
```
RuPt2Br
1.0
2.828 0.000 0.000
0.000 4.616 0.000
0.000 0.000 10.379
Ru Pt Br
2 4 2
direct
0.000 0.000 0.000 Ru
0.500 0.500 0.500 Ru
0.000 0.500 0.272 Pt
0.000 0.500 0.728 Pt
0.500 0.000 0.228 Pt
0.500 0.000 0.772 Pt
0.000 0.000 0.500 Br
0.500 0.500 0.000 Br
```


Entry 3:
DFT (PBE) results for a geometry-optimized RuPt2Br structure.

Values from the calculation:
V = 16.50 Å³/atom
crystal system = orthorhombic
E_form (uncorrected) = 0.71 eV per atom
DOS(E_F) = 1.470 states/eV per atom

Geometry as POSCAR:
```
RuPt2Br
1.0
2.847 0.000 0.000
0.000 4.685 0.000
0.000 0.000 4.949
Ru Pt Br
1 2 1
direct
0.000 0.000 0.000 Ru
0.000 0.500 0.500 Pt
0.500 0.000 0.500 Pt
0.500 0.500 0.000 Br
```